Entry 1:
Rb2CaVC: relaxed, PBE-GGA.

Unit cell a=7.1934 b=3.9068 c=7.1934 alpha=90.00 beta=90.00 gamma=90.00
Each line ends with the local moment (μB).
Atoms (fractional coordinates):
V 0.0000 0.0000 0.0000  1.94
Ca 0.5000 0.5000 0.5000  0.03
Rb 0.0000 0.0000 0.5000  0.02
C 0.0000 0.5000 0.0000  -0.12
Rb 0.5000 0.0000 0.0000  0.03

Calculated values
Space-group type   No. 123
V   202 Å³/cell
ΔE_f   1.073 eV/atom

---

Entry 2:
RbCaZr2C: relaxed, PBE-GGA.

Unit cell a=4.6134 b=6.1660 c=4.6134 alpha=90.00 beta=90.00 gamma=90.00
Atoms (fractional coordinates):
Zr 0.5000 0.0000 0.0000
Zr 0.0000 0.0000 0.5000
Ca 0.5000 0.5000 0.5000
Rb 0.0000 0.5000 0.0000
C 0.0000 0.0000 0.0000

Calculated values
Space-group type   No. 123
V   131 Å³/cell
ΔE_f   0.551 eV/atom